## CoTcRu2O (PBE with a Hubbard U)

Data for a relaxed structure of CoTcRu2O.

Properties
**Mass density**: 7.43 g cm⁻³
**Raw total energy**: -6.813 eV per atom

Cell: 4.769 3.687 4.769 Å, 90.00 90.00 90.00°
Each line ends with the local moment (μB).
Positions (direct):
Ru1 0.000 0.000 0.500  0.77
Ru2 0.500 0.000 0.000  0.77
Co1 0.500 0.500 0.500  2.27
Tc1 0.000 0.000 0.000  -0.09
O1 0.000 0.500 0.000  -0.01